KAg2Hg after structural relaxation. Source: Alexandria via LeMat-Bulk, functional GGA-PBE.

Results
final energy	-1.528	eV per atom
formation enthalpy at 0 K	247.0	meV/atom
offset from the most stable computed form	1.150	eV/f.u.

Unit cell a=10.644 b=10.644 c=10.644 alpha=17.62 beta=17.62 gamma=17.62
Sites, in units of the cell vectors:
Ag 0.993 0.993 0.993
Ag 0.507 0.507 0.507
Hg 0.250 0.250 0.250
K 0.750 0.750 0.750


KAgHg2 after structural relaxation. Source: Alexandria via LeMat-Bulk, functional GGA-PBE.

Results
final energy	-1.167	eV per atom
formation enthalpy at 0 K	-29.2	meV/atom
offset from the most stable computed form	0.369	eV/f.u.

Unit cell a=5.418 b=5.418 c=5.418 alpha=60.00 beta=60.00 gamma=60.00
Sites, in units of the cell vectors:
Ag 0.500 0.500 0.500
Hg 0.000 0.000 0.000
Hg 0.250 0.250 0.250
K 0.750 0.750 0.750


Number 1 is which compound?
KAg2Hg


Among the records above, which one has the highest final energy?
KAgHg2


Which of these has the highest offset from the most stable computed form?
KAg2Hg


Among the records above, which one has the highest formation enthalpy at 0 K?
KAg2Hg